# Ac8CuAg2, relaxed, DFT PBE
# - E_form: -0.61 eV/f.u.
data_Ac8CuAg2
_chemical_formula_sum 'Ac8 Cu1 Ag2'
_cell_length_a 10.262
_cell_length_b 10.262
_cell_length_c 7.509
_cell_angle_alpha 104.78
_cell_angle_beta 104.78
_cell_angle_gamma 32.02
_space_group_name_H-M_alt 'P 1'
_space_group_IT_number 1
loop_
_space_group_symop_operation_xyz
'x,y,z'
loop_
_atom_site_label
_atom_site_type_symbol
_atom_site_fract_x
_atom_site_fract_y
_atom_site_fract_z
Ac1 Ac 0.027 0.027 0.283
Ac2 Ac 0.202 0.202 0.832
Ac3 Ac 0.337 0.337 0.518
Ac4 Ac 0.410 0.410 0.048
Ac5 Ac 0.590 0.590 0.952
Ac6 Ac 0.663 0.663 0.482
Ac7 Ac 0.798 0.798 0.168
Ac8 Ac 0.973 0.973 0.717
Cu1 Cu 0.500 0.500 0.500
Ag1 Ag 0.183 0.183 0.240
Ag2 Ag 0.817 0.817 0.760

---

# KIn2Ni, relaxed, DFT PBE
# - E_form: 1.87 eV/f.u.
data_KIn2Ni
_chemical_formula_sum 'K1 In2 Ni1'
_cell_length_a 6.024
_cell_length_b 6.024
_cell_length_c 3.040
_cell_angle_alpha 90.00
_cell_angle_beta 90.00
_cell_angle_gamma 117.33
_space_group_name_H-M_alt 'P 1'
_space_group_IT_number 1
loop_
_space_group_symop_operation_xyz
'x,y,z'
loop_
_atom_site_label
_atom_site_type_symbol
_atom_site_fract_x
_atom_site_fract_y
_atom_site_fract_z
K1 K 0.000 0.000 0.000
In1 In 0.000 0.500 0.500
In2 In 0.500 0.000 0.500
Ni1 Ni 0.500 0.500 0.000

---

# DyTiCuRu, relaxed, DFT PBE
# - E_form: -0.87 eV/f.u.
data_DyTiCuRu
_chemical_formula_sum 'Dy1 Ti1 Cu1 Ru1'
_cell_length_a 4.616
_cell_length_b 4.616
_cell_length_c 4.616
_cell_angle_alpha 60.00
_cell_angle_beta 60.00
_cell_angle_gamma 60.00
_space_group_name_H-M_alt 'P 1'
_space_group_IT_number 1
loop_
_space_group_symop_operation_xyz
'x,y,z'
loop_
_atom_site_label
_atom_site_type_symbol
_atom_site_fract_x
_atom_site_fract_y
_atom_site_fract_z
Dy1 Dy 0.000 0.000 0.000
Ti1 Ti 0.500 0.500 0.500
Cu1 Cu 0.250 0.250 0.250
Ru1 Ru 0.750 0.750 0.750

---

# Rb2SnBiSe4, relaxed, DFT PBE
# - Raw formation energy: -597 meV per atom
data_Rb2SnBiSe4
_chemical_formula_sum 'Rb4 Sn2 Bi2 Se8'
_cell_length_a 14.349
_cell_length_b 12.667
_cell_length_c 8.354
_cell_angle_alpha 83.39
_cell_angle_beta 61.28
_cell_angle_gamma 35.33
_space_group_name_H-M_alt 'P 1'
_space_group_IT_number 1
loop_
_space_group_symop_operation_xyz
'x,y,z'
loop_
_atom_site_label
_atom_site_type_symbol
_atom_site_fract_x
_atom_site_fract_y
_atom_site_fract_z
Rb1 Rb 0.059 0.059 0.691
Rb2 Rb 0.309 0.309 0.941
Rb3 Rb 0.691 0.691 0.059
Rb4 Rb 0.941 0.941 0.309
Sn1 Sn 0.375 0.375 0.375
Sn2 Sn 0.625 0.625 0.625
Bi1 Bi 0.125 0.125 0.125
Bi2 Bi 0.875 0.875 0.875
Se1 Se 0.035 0.333 0.432
Se2 Se 0.300 0.568 0.667
Se3 Se 0.333 0.035 0.700
Se4 Se 0.432 0.700 0.035
Se5 Se 0.568 0.300 0.965
Se6 Se 0.667 0.965 0.300
Se7 Se 0.700 0.432 0.333
Se8 Se 0.965 0.667 0.568

---

# ZrCdOs, relaxed, DFT PBE
# - E_form: 0.21 eV/f.u.
data_ZrCdOs
_chemical_formula_sum 'Zr1 Cd1 Os1'
_cell_length_a 4.703
_cell_length_b 4.703
_cell_length_c 2.886
_cell_angle_alpha 90.00
_cell_angle_beta 90.00
_cell_angle_gamma 120.00
_space_group_name_H-M_alt 'P 1'
_space_group_IT_number 1
loop_
_space_group_symop_operation_xyz
'x,y,z'
loop_
_atom_site_label
_atom_site_type_symbol
_atom_site_fract_x
_atom_site_fract_y
_atom_site_fract_z
Zr1 Zr 0.000 0.000 0.000
Cd1 Cd 0.667 0.333 0.414
Os1 Os 0.333 0.667 0.722

---

# Sc3CuS, relaxed, DFT PBE
# - Raw formation energy: -839 meV per atom
data_Sc3CuS
_chemical_formula_sum 'Sc12 Cu4 S4'
_cell_length_a 8.163
_cell_length_b 3.530
_cell_length_c 13.606
_cell_angle_alpha 90.00
_cell_angle_beta 90.00
_cell_angle_gamma 90.00
_space_group_name_H-M_alt 'P 1'
_space_group_IT_number 1
loop_
_space_group_symop_operation_xyz
'x,y,z'
loop_
_atom_site_label
_atom_site_type_symbol
_atom_site_fract_x
_atom_site_fract_y
_atom_site_fract_z
Sc1 Sc 0.014 0.250 0.111
Sc2 Sc 0.157 0.250 0.550
Sc3 Sc 0.178 0.750 0.287
Sc4 Sc 0.322 0.250 0.787
Sc5 Sc 0.343 0.750 0.050
Sc6 Sc 0.486 0.750 0.611
Sc7 Sc 0.514 0.250 0.389
Sc8 Sc 0.657 0.250 0.950
Sc9 Sc 0.678 0.750 0.213
Sc10 Sc 0.822 0.250 0.713
Sc11 Sc 0.843 0.750 0.450
Sc12 Sc 0.986 0.750 0.889
Cu1 Cu 0.097 0.750 0.695
Cu2 Cu 0.403 0.250 0.195
Cu3 Cu 0.597 0.750 0.805
Cu4 Cu 0.903 0.250 0.305
S1 S 0.183 0.250 0.953
S2 S 0.317 0.750 0.453
S3 S 0.683 0.250 0.547
S4 S 0.817 0.750 0.047